VASP calculation (PBE+U) on a geometry-optimized BaPu2VO8 structure.

- VASP energy: -104.90 eV/cell
- Mass density: 5.71 g/cm³

Unit cell a=6.2565 b=6.2565 c=6.8948 alpha=90.00 beta=90.00 gamma=120.00
Space group P-3m1 (No. 164)
Asymmetric unit:
Ba 0.0000 0.0000 0.0000
Pu 0.3333 0.6667 0.2983
V 0.0000 0.0000 0.5000
O 0.1418 0.2837 0.3351
O 0.3333 0.6667 0.0229